Ca2CdAu, optimized geometry, DFT GGA-PBE; symmetry = Imm2 (44); E_form = -0.47 eV per atom
1.0
-1.875 2.557 5.627
1.875 -2.557 5.627
1.875 2.557 -5.627
Ca Cd Au
2 1 1
Cartesian
0.000 0.000 0.000
0.000 2.557 2.322
1.875 0.000 3.156
0.000 0.000 5.446

---

CaCd4Au2, optimized geometry, DFT GGA-PBE; symmetry = P4_2/mnm (136); energy above the lowest structure with this stoichiometry = 0.000 eV/atom; E_form = -0.36 eV per atom
1.0
8.599 0.000 0.000
0.000 8.599 0.000
0.000 0.000 4.396
Ca Cd Au
2 8 4
Cartesian
0.000 0.000 0.000
4.300 4.300 2.198
0.864 2.992 2.198
1.308 5.164 0.000
2.992 0.864 2.198
3.436 7.292 0.000
5.164 1.308 0.000
5.608 7.736 2.198
7.292 3.436 0.000
7.736 5.608 2.198
1.583 7.017 2.198
2.717 2.717 0.000
5.883 5.883 0.000
7.017 1.583 2.198

---

CaCdAu2, optimized geometry, DFT GGA-PBE; symmetry = I-42d (122); E_form = -0.31 eV per atom
1.0
-3.976 3.976 3.047
3.976 -3.976 3.047
3.976 3.976 -3.047
Ca Cd Au
2 2 4
Cartesian
0.000 0.000 0.000
0.000 3.976 1.524
3.976 0.000 1.524
0.000 0.000 3.047
1.988 -1.826 2.285
2.150 1.988 0.762
1.988 5.802 -0.762
1.826 1.988 3.809